Entry 1:
# GGA-PBE CaPrPd6, optimized geometry
data_CaPrPd6
_chemical_formula_sum 'Ca1 Pr1 Pd6'
_cell_length_a 5.339
_cell_length_b 5.339
_cell_length_c 5.339
_cell_angle_alpha 90.00
_cell_angle_beta 90.00
_cell_angle_gamma 90.00
_space_group_name_H-M_alt 'P 1'
_space_group_IT_number 1
_space_group_name_Hall 'P 1'
loop_
_atom_site_label
_atom_site_fract_x
_atom_site_fract_y
_atom_site_fract_z
Ca1 0.000 0.000 0.000
Pr1 0.500 0.500 0.500
Pd1 0.000 0.248 0.500
Pd2 0.000 0.752 0.500
Pd3 0.248 0.500 0.000
Pd4 0.500 0.000 0.248
Pd5 0.500 0.000 0.752
Pd6 0.752 0.500 0.000
# **Crystal system**: cubic
# **Distance to the lowest polymorph of the same formula**: 170 meV/atom
# **Energy of formation from the pure elements**: -0.4261 eV per atom
# **E**: -41.35 eV per cell
# **DOS(E_F)**: 0.494 states/eV/atom



Entry 2:
# GGA-PBE CaPr2Pd2, optimized geometry
data_CaPr2Pd2
_chemical_formula_sum 'Ca2 Pr4 Pd4'
_cell_length_a 8.037
_cell_length_b 8.037
_cell_length_c 4.127
_cell_angle_alpha 90.00
_cell_angle_beta 90.00
_cell_angle_gamma 90.00
_space_group_name_H-M_alt 'P 1'
_space_group_IT_number 1
_space_group_name_Hall 'P 1'
loop_
_atom_site_label
_atom_site_fract_x
_atom_site_fract_y
_atom_site_fract_z
Ca1 0.000 0.000 0.000
Ca2 0.500 0.500 0.000
Pr1 0.164 0.336 0.500
Pr2 0.336 0.836 0.500
Pr3 0.664 0.164 0.500
Pr4 0.836 0.664 0.500
Pd1 0.130 0.630 0.000
Pd2 0.370 0.130 0.000
Pd3 0.630 0.870 0.000
Pd4 0.870 0.370 0.000
# **Crystal system**: tetragonal
# **Distance to the lowest polymorph of the same formula**: 0 meV/atom
# **Energy of formation from the pure elements**: -0.6376 eV per atom
# **E**: -50.27 eV per cell
# **DOS(E_F)**: 0.695 states/eV/atom



Entry 3:
# GGA-PBE CaPrPd2, optimized geometry
data_CaPrPd2
_chemical_formula_sum 'Ca1 Pr1 Pd2'
_cell_length_a 3.953
_cell_length_b 4.511
_cell_length_c 5.824
_cell_angle_alpha 90.00
_cell_angle_beta 109.73
_cell_angle_gamma 90.00
_space_group_name_H-M_alt 'P 1'
_space_group_IT_number 1
_space_group_name_Hall 'P 1'
loop_
_atom_site_label
_atom_site_fract_x
_atom_site_fract_y
_atom_site_fract_z
Ca1 0.000 0.000 0.000
Pr1 0.723 0.500 0.445
Pd1 0.281 0.000 0.560
Pd2 0.442 0.500 0.885
# **Crystal system**: monoclinic
# **Energy of formation from the pure elements**: -0.7474 eV per atom
# **E**: -20.16 eV per cell
# **DOS(E_F)**: 0.461 states/eV/atom



Entry 4:
# GGA-PBE CaPrPd2, optimized geometry
data_CaPrPd2
_chemical_formula_sum 'Ca1 Pr1 Pd2'
_cell_length_a 3.610
_cell_length_b 3.610
_cell_length_c 7.151
_cell_angle_alpha 90.00
_cell_angle_beta 90.00
_cell_angle_gamma 90.00
_space_group_name_H-M_alt 'P 1'
_space_group_IT_number 1
_space_group_name_Hall 'P 1'
loop_
_atom_site_label
_atom_site_fract_x
_atom_site_fract_y
_atom_site_fract_z
Ca1 0.000 0.000 0.000
Pr1 0.000 0.000 0.500
Pd1 0.500 0.500 0.256
Pd2 0.500 0.500 0.744
# **Crystal system**: tetragonal
# **Energy of formation from the pure elements**: -0.7242 eV per atom
# **E**: -20.06 eV per cell
# **DOS(E_F)**: 0.299 states/eV/atom



Entry 5:
# GGA-PBE Ca3PrPd4, optimized geometry
data_Ca3PrPd4
_chemical_formula_sum 'Ca3 Pr1 Pd4'
_cell_length_a 3.574
_cell_length_b 3.574
_cell_length_c 14.236
_cell_angle_alpha 90.00
_cell_angle_beta 90.00
_cell_angle_gamma 90.00
_space_group_name_H-M_alt 'P 1'
_space_group_IT_number 1
_space_group_name_Hall 'P 1'
loop_
_atom_site_label
_atom_site_fract_x
_atom_site_fract_y
_atom_site_fract_z
Ca1 0.000 0.000 0.000
Ca2 0.000 0.000 0.244
Ca3 0.000 0.000 0.756
Pr1 0.000 0.000 0.500
Pd1 0.500 0.500 0.123
Pd2 0.500 0.500 0.375
Pd3 0.500 0.500 0.625
Pd4 0.500 0.500 0.877
# **Crystal system**: tetragonal
# **Energy of formation from the pure elements**: -0.6999 eV per atom
# **E**: -37.15 eV per cell
# **DOS(E_F)**: 0.387 states/eV/atom



Entry 6:
# GGA-PBE CaPrPd, optimized geometry
data_CaPrPd
_chemical_formula_sum 'Ca1 Pr1 Pd1'
_cell_length_a 7.063
_cell_length_b 7.063
_cell_length_c 7.063
_cell_angle_alpha 150.04
_cell_angle_beta 150.04
_cell_angle_gamma 42.88
_space_group_name_H-M_alt 'P 1'
_space_group_IT_number 1
_space_group_name_Hall 'P 1'
loop_
_atom_site_label
_atom_site_fract_x
_atom_site_fract_y
_atom_site_fract_z
Ca1 0.000 0.000 0.000
Pr1 0.262 0.262 0.000
Pd1 0.639 0.639 0.000
# **Crystal system**: tetragonal
# **Distance to the lowest polymorph of the same formula**: 52 meV/atom
# **Energy of formation from the pure elements**: -0.4574 eV per atom
# **E**: -13.35 eV per cell
# **DOS(E_F)**: 0.869 states/eV/atom



Which value of E does entry 5 give? -37.15 eV per cell